{
  "formula": "K5Bi2F12",
  "functional": "PBE",
  "state": "relaxed",
  "crystal_system": "monoclinic",
  "raw_formation_energy_mev_per_atom": -2546,
  "relative_energy_mev_per_atom": 2,
  "total_magnetization_mub_per_cell": 0.00,
  "density_g_cm3": 3.9,
  "lattice_angstrom": [[-7.003, 3.151, 2.737], [1.565, -0.077, -8.048], [-1.437, -6.507, 3.812]],
  "species": ["K", "K", "K", "K", "K", "Bi", "Bi", "F", "F", "F", "F", "F", "F", "F", "F", "F", "F", "F", "F"],
  "fractional_positions": [[0.262, 0.524, 0.522], [0.306, 0.612, 0.121], [0.000, 0.000, 0.500], [0.694, 0.388, 0.879], [0.738, 0.476, 0.478], [0.752, 0.000, 0.000], [0.248, 0.000, 0.000], [0.904, 0.808, 0.976], [0.111, 0.617, 0.856], [0.506, 0.617, 0.856], [0.120, 0.842, 0.648], [0.723, 0.842, 0.648], [0.491, 0.982, 0.826], [0.509, 0.018, 0.174], [0.880, 0.158, 0.352], [0.277, 0.158, 0.352], [0.889, 0.383, 0.144], [0.494, 0.383, 0.144], [0.096, 0.192, 0.024]]
}